TaAg2Se: optimized geometry, PBEsol.

The crystal system is monoclinic. The raw total energy is -21.89 eV for the cell shown. For the calculated density, the calculation gives 11.38 g/cm³. The value obtained for the density of states at the Fermi level is 2.33 states/eV/cell.

It has space group P2/m (No. 10), with a = 2.874 Å, b = 4.783 Å, c = 5.189 Å, α = 90.00°, β = 103.23° and γ = 90.00°. The inequivalent atoms are Ta at (0.000, 0.000, 0.000), Ag at (0.348, 0.500, 0.745) and Se at (0.000, 0.000, 0.500).